## Gd2HoMn (PBE)

Data for a relaxed Gd2HoMn crystal.

Geometry as extended XYZ:
```
4
Lattice="0.000 3.794 3.794 3.794 0.000 3.794 3.794 3.794 0.000" Properties=species:S:1:pos:R:3 pbc="T T T"
Gd 1.897 1.897 1.897
Gd 5.692 5.692 5.692
Ho 0.000 0.000 0.000
Mn 3.794 3.794 3.794
```

## Properties
ΔH_f (0 K) in eV/atom: 0.312
E_tot in eV/cell: -40.66
Total magnetization in μB per cell: 18.248
Density of states at the Fermi level in states/eV/cell: 6.02

## Na2EuGeSe4 (PBE)

Data for a relaxed Na2EuGeSe4 crystal.

Geometry as extended XYZ:
```
8
Lattice="-3.682 3.682 3.737 3.682 -3.682 3.737 3.682 3.682 -3.737" Properties=species:S:1:pos:R:3 pbc="T T T"
Na 3.682 0.000 0.000
Na 0.000 3.682 0.000
Eu 0.000 0.000 0.000
Ge 0.000 0.000 3.737
Se 1.403 -1.403 2.364
Se 2.279 2.279 1.374
Se -1.403 1.403 2.364
Se 1.403 1.403 5.111
```

## Properties
Formation energy (no corrections) in eV per atom: -1.046
E_tot in eV/cell: -39.83
Total magnetization in μB per cell: 7.000
Density of states at the Fermi level in states/eV/cell: 12.63

- Among the records above, which one has the lowest E_tot?
  Gd2HoMn

- Which value of density of states at the Fermi level does entry 2 give?
  12.63 states/eV/cell